Below is a crystal of SrLaCo relaxed with PBEsol, with properties calculated at the meta-GGA SCAN level.

Unit cell a=3.502 b=3.502 c=7.240 alpha=104.00 beta=104.00 gamma=90.00
Site moments in Bohr magnetons follow the coordinates.
Fractional coordinates of all 3 atoms:
1 La 0.614 0.614 0.228  -0.29
2 Co 0.017 0.017 0.035  1.29
3 Sr 0.368 0.368 0.737  -0.07

* E_form: 0.16 eV/atom
* crystal system: tetragonal
* DOS(E_F): 1.569 states/eV/f.u.
* E: -2.0137 Ry per atom